Crystalline MnCu2SO at its relaxed geometry, computed with GGA+U.

* VASP energy: -5.239 eV per atom
* calculated volume: 91.51 Å³ per cell
* SG: P4/mmm, No. 123
* M_tot: 4.997 μB per formula unit
* density of states at the Fermi level: 0.11 states/eV/f.u.

Lattice parameters (Å, degrees): 3.648 6.876 3.648 90.00 90.00 90.00
Site moments in Bohr magnetons follow the coordinates.
Positions (direct):
S1 0.000 0.500 0.000  0.04
Mn1 0.500 0.500 0.500  4.61
O1 0.000 0.000 0.000  0.00
Cu1 0.000 0.000 0.500  0.01
Cu2 0.500 0.000 0.000  0.01